Entry one
Computed, not measured: an optimized crystal structure of KYFe3 at the PBE level of DFT.

Calculated values
V: 141.0 Å³/cell
Crystal system: cubic

a = 5.2052 Å, b = 5.2052 Å, c = 5.2052 Å
α = 90.00°, β = 90.00°, γ = 90.00°
Last column: nearest neighbours and their distance in Å.
Space group Pm-3m (No. 221)
Unique sites:
K 0.0000 0.0000 0.0000 (multiplicity 1)  12 Fe 3.68
Y 0.5000 0.5000 0.5000 (multiplicity 1)  6 Fe 2.60
Fe 0.0000 0.5000 0.5000 (multiplicity 3)  2 Y 2.60

=====

Entry two
Computed, not measured: an optimized crystal structure of KYFe3 at the PBE level of DFT.

Calculated values
V: 106.8 Å³/cell
Crystal system: cubic

a = 4.7445 Å, b = 4.7445 Å, c = 4.7445 Å
α = 90.00°, β = 90.00°, γ = 90.00°
Last column: nearest neighbours and their distance in Å.
Space group Pm-3m (No. 221)
Unique sites:
K 0.0000 0.0000 0.0000 (multiplicity 1)  6 Fe 2.37
Y 0.5000 0.5000 0.5000 (multiplicity 1)  12 Fe 3.35
Fe 0.0000 0.0000 0.5000 (multiplicity 3)  2 K 2.37

=====

Relative energies, unit meV per atom: entry one 0; entry two 349

=====

Entry one
Computed, not measured: an optimized crystal structure of KZr3Fe at the PBE level of DFT.

Calculated values
V: 126.8 Å³/cell
Crystal system: cubic

a = 5.0233 Å, b = 5.0233 Å, c = 5.0233 Å
α = 90.00°, β = 90.00°, γ = 90.00°
Last column: nearest neighbours and their distance in Å.
Space group Pm-3m (No. 221)
Unique sites:
K 0.0000 0.0000 0.0000 (multiplicity 1)  12 Zr 3.55
Zr 0.0000 0.5000 0.5000 (multiplicity 3)  2 Fe 2.51
Fe 0.5000 0.5000 0.5000 (multiplicity 1)  6 Zr 2.51

=====

Entry two
Computed, not measured: an optimized crystal structure of KZr3Fe at the PBE level of DFT.

Calculated values
V: 109.3 Å³/cell
Crystal system: cubic

a = 4.7805 Å, b = 4.7805 Å, c = 4.7805 Å
α = 90.00°, β = 90.00°, γ = 90.00°
Last column: nearest neighbours and their distance in Å.
Space group Pm-3m (No. 221)
Unique sites:
K 0.0000 0.0000 0.0000 (multiplicity 1)  6 Zr 2.39
Zr 0.0000 0.0000 0.5000 (multiplicity 3)  2 K 2.39
Fe 0.5000 0.5000 0.5000 (multiplicity 1)  12 Zr 3.38

=====

Relative energies, unit meV per atom: entry one 0; entry two 1830

=====

Entry one
Computed, not measured: an optimized crystal structure of La3Fe4 at the PBE level of DFT.

Calculated values
V: 168.9 Å³/cell
Crystal system: hexagonal

a = 6.6564 Å, b = 6.6564 Å, c = 4.4015 Å
α = 90.00°, β = 90.00°, γ = 120.00°
Last column: nearest neighbours and their distance in Å.
Space group P6/mmm (No. 191)
Unique sites:
La 0.0000 0.5000 0.0000 (multiplicity 3)  4 Fe 2.92
Fe 0.0000 0.0000 0.2433 (multiplicity 2)  2 Fe 2.14-2.26
Fe 0.3333 0.6667 0.5000 (multiplicity 2)  6 La 2.92

=====

Entry two
Computed, not measured: an optimized crystal structure of La3Fe4 at the PBE level of DFT.

Calculated values
V: 298.5 Å³/cell
Crystal system: tetragonal

a = 3.2765 Å, b = 3.2765 Å, c = 27.8047 Å
α = 90.00°, β = 90.00°, γ = 90.00°
Last column: nearest neighbours and their distance in Å.
Space group I4/mmm (No. 139)
Unique sites:
La 0.0000 0.0000 0.0000 (multiplicity 2)  10 Fe 3.15-3.19, 4 La 3.28
La 0.0000 0.0000 0.3114 (multiplicity 4)  5 Fe 3.05-3.12, 4 La 3.28
Fe 0.0000 0.0000 0.1134 (multiplicity 4)  4 Fe 2.51
Fe 0.0000 0.0000 0.4209 (multiplicity 4)  4 Fe 2.51

=====

Relative energies, unit meV per atom: entry one 574; entry two 0

=====

Entry one
Computed, not measured: an optimized crystal structure of La4Fe at the PBE level of DFT.

Calculated values
V: 1363.5 Å³/cell
Crystal system: orthorhombic

a = 12.9368 Å, b = 13.5200 Å, c = 7.7954 Å
α = 90.00°, β = 90.00°, γ = 90.00°
Last column: nearest neighbours and their distance in Å.
Space group Fdd2 (No. 43)
Unique sites:
La 0.1097 0.0816 0.0000 (multiplicity 16)  2 Fe 2.88-2.93
La 0.1191 0.0798 0.5137 (multiplicity 16)  1 Fe 2.43
Fe 0.0000 0.0000 0.7121 (multiplicity 8)  2 La 2.43

=====

Entry two
Computed, not measured: an optimized crystal structure of La4Fe at the PBE level of DFT.

Calculated values
V: 338.4 Å³/cell
Crystal system: tetragonal

a = 4.1363 Å, b = 4.1363 Å, c = 19.7788 Å
α = 90.00°, β = 90.00°, γ = 90.00°
Last column: nearest neighbours and their distance in Å.
Space group I4/mmm (No. 139)
Unique sites:
La 0.0000 0.0000 0.0778 (multiplicity 4)  1 La 3.08, 4 Fe 3.30
La 0.0000 0.5000 0.2500 (multiplicity 4)  4 La 2.92
Fe 0.0000 0.0000 0.5000 (multiplicity 2)  8 La 3.30

=====

Entry three
Computed, not measured: an optimized crystal structure of La4Fe at the PBE level of DFT.

Calculated values
V: 163.9 Å³/cell
Crystal system: cubic

a = 5.4726 Å, b = 5.4726 Å, c = 5.4726 Å
α = 90.00°, β = 90.00°, γ = 90.00°
Last column: nearest neighbours and their distance in Å.
Space group Pm-3m (No. 221)
Unique sites:
La 0.0000 0.0000 0.0000 (multiplicity 1)  12 La 3.87
La 0.0000 0.5000 0.5000 (multiplicity 3)  2 Fe 2.74
Fe 0.5000 0.5000 0.5000 (multiplicity 1)  6 La 2.74

=====

Relative energies, unit meV per atom: entry one 0; entry two 591; entry three 79

=====

Entry one
Computed, not measured: an optimized crystal structure of Li2LaFe at the PBE level of DFT.

Calculated values
V: 80.5 Å³/cell
Crystal system: tetragonal

a = 3.3025 Å, b = 3.3025 Å, c = 7.3826 Å
α = 90.00°, β = 90.00°, γ = 90.00°
Last column: nearest neighbours and their distance in Å.
Space group P4/mmm (No. 123)
Unique sites:
Li 0.0000 0.0000 0.1783 (multiplicity 2)  1 Li 2.63, 4 Fe 2.68
La 0.5000 0.5000 0.5000 (multiplicity 1)  4 La 3.30, 8 Li 3.33, 2 Fe 3.69
Fe 0.5000 0.5000 0.0000 (multiplicity 1)  8 Li 2.68

=====

Entry two
Computed, not measured: an optimized crystal structure of Li2LaFe at the PBE level of DFT.

Calculated values
V: 153.3 Å³/cell
Crystal system: orthorhombic

a = 5.2918 Å, b = 9.5994 Å, c = 3.0182 Å
α = 90.00°, β = 90.00°, γ = 90.00°
Last column: nearest neighbours and their distance in Å.
Space group Cmmm (No. 65)
Unique sites:
Li 0.2500 0.2500 0.0000 (multiplicity 4)  2 Li 2.65
La 0.0000 0.0000 0.5000 (multiplicity 2)  2 Fe 2.65
Fe 0.0000 0.5000 0.5000 (multiplicity 2)  2 La 2.65

=====

Entry three
Computed, not measured: an optimized crystal structure of Li2LaFe at the PBE level of DFT.

Calculated values
V: 81.5 Å³/cell
Crystal system: monoclinic

a = 3.3189 Å, b = 5.3058 Å, c = 4.6617 Å
α = 90.00°, β = 96.88°, γ = 90.00°
Last column: nearest neighbours and their distance in Å.
Space group P2/m (No. 10)
Unique sites:
Li 0.2005 0.0000 0.2958 (multiplicity 2)  2 Li 2.45-2.58
La 0.5000 0.5000 0.0000 (multiplicity 1)  2 Fe 2.69
Fe 0.0000 0.5000 0.5000 (multiplicity 1)  2 La 2.69, 4 Li 2.92

=====

Relative energies, unit meV per atom: entry one 142; entry two 162; entry three 0

=====

Entry one
Computed, not measured: an optimized crystal structure of Li2LaFe at the PBE level of DFT.

Calculated values
V: 311.4 Å³/cell
Crystal system: tetragonal

a = 3.7912 Å, b = 3.7912 Å, c = 21.6629 Å
α = 90.00°, β = 90.00°, γ = 90.00°
Last column: nearest neighbours and their distance in Å.
Space group I-42d (No. 122)
Unique sites:
Li 0.2009 0.2500 0.1250 (multiplicity 8)  2 Li 2.43
La 0.0000 0.0000 0.5000 (multiplicity 4)  4 Fe 2.68
Fe 0.0000 0.0000 0.0000 (multiplicity 4)  4 La 2.68, 4 Li 2.97

=====

Entry two
Computed, not measured: an optimized crystal structure of Li2LaFe at the PBE level of DFT.

Calculated values
V: 314.1 Å³/cell
Crystal system: cubic

a = 6.7974 Å, b = 6.7974 Å, c = 6.7974 Å
α = 90.00°, β = 90.00°, γ = 90.00°
Last column: nearest neighbours and their distance in Å.
Space group Fm-3m (No. 225)
Unique sites:
Li 0.2500 0.2500 0.2500 (multiplicity 8)  4 La 2.94, 4 Fe 2.94
La 0.0000 0.0000 0.0000 (multiplicity 4)  8 Li 2.94
Fe 0.0000 0.0000 0.5000 (multiplicity 4)  8 Li 2.94

=====

Entry three
Computed, not measured: an optimized crystal structure of Li2LaFe at the PBE level of DFT.

Calculated values
V: 168.9 Å³/cell
Crystal system: orthorhombic

a = 4.8023 Å, b = 4.8112 Å, c = 7.3086 Å
α = 90.00°, β = 90.00°, γ = 90.00°
Last column: nearest neighbours and their distance in Å.
Space group Cmm2 (No. 35)
Unique sites:
Li 0.0000 0.0000 0.0000 (multiplicity 2)  1 Fe 2.77, 4 Li 2.81
Li 0.0000 0.5000 0.1985 (multiplicity 2)  4 Fe 2.74, 4 Li 2.81
La 0.0000 0.5000 0.6289 (multiplicity 2)  4 Fe 3.02, 1 Li 3.15
Fe 0.0000 0.0000 0.3789 (multiplicity 2)  5 Li 2.74-2.77, 4 La 3.02

=====

Entry four
Computed, not measured: an optimized crystal structure of Li2LaFe at the PBE level of DFT.

Calculated values
V: 165.7 Å³/cell
Crystal system: orthorhombic

a = 3.1969 Å, b = 4.9747 Å, c = 10.4193 Å
α = 90.00°, β = 90.00°, γ = 90.00°
Last column: nearest neighbours and their distance in Å.
Space group Cmmm (No. 65)
Unique sites:
Li 0.0000 0.0000 0.2058 (multiplicity 4)  2 Fe 2.67, 4 Li 2.96
La 0.0000 0.5000 0.5000 (multiplicity 2)  6 La 2.96-3.20
Fe 0.0000 0.5000 0.0000 (multiplicity 2)  4 Li 2.67, 4 Fe 2.96

=====

Relative energies, unit meV per atom: entry one 135; entry two 158; entry three 0; entry four 222